Entry 1:
VASP calculation (PBE) on an optimized crystal structure of Pa2In3Ga3.

Results
As for the density: 9.38 g/cm³. The calculation puts the total magnetic moment at 0.07 μB per cell. The calculation puts the density of states at the Fermi level at 10.06 states/eV/cell. Its total energy is -4.76 eV per atom.

The structure in CIF format:
```
data_Pa2In3Ga3
_symmetry_space_group_name_H-M 'P m m m'
_symmetry_Int_Tables_number 47
_cell_length_a 4.305
_cell_length_b 4.489
_cell_length_c 9.303
_cell_angle_alpha 90.00
_cell_angle_beta 90.00
_cell_angle_gamma 90.00
loop_
_symmetry_equiv_pos_as_xyz
'x,y,z'
'-x,-y,-z'
'-x,-y,z'
'x,y,-z'
'x,-y,-z'
'-x,y,z'
'-x,y,-z'
'x,-y,z'
loop_
_atom_site_label
_atom_site_type_symbol
_atom_site_fract_x
_atom_site_fract_y
_atom_site_fract_z
Pa1 Pa 0.000 0.000 0.240
In1 In 0.000 0.500 0.000
In2 In 0.000 0.500 0.500
In3 In 0.500 0.000 0.500
Ga1 Ga 0.500 0.000 0.000
Ga2 Ga 0.500 0.500 0.243
```

---

Entry 2:
VASP calculation (PBE) on an optimized crystal structure of Pa2InGa9.

Results
As for the density: 8.26 g/cm³. The calculation puts the total magnetic moment at 0.00 μB per cell. The calculation puts the density of states at the Fermi level at 9.82 states/eV/cell. Its total energy is -4.27 eV per atom.

The structure in CIF format:
```
data_Pa2InGa9
_symmetry_space_group_name_H-M 'P 4/m m m'
_symmetry_Int_Tables_number 123
_symmetry_space_group_name_Hall '-P 4 2'
_cell_length_a 4.289
_cell_length_b 4.289
_cell_length_c 13.163
_cell_angle_alpha 90.00
_cell_angle_beta 90.00
_cell_angle_gamma 90.00
loop_
_atom_site_label
_atom_site_type_symbol
_atom_site_fract_x
_atom_site_fract_y
_atom_site_fract_z
Pa1 Pa 0.000 0.000 0.162
In1 In 0.000 0.000 0.500
Ga1 Ga 0.000 0.500 0.000
Ga2 Ga 0.000 0.500 0.329
Ga3 Ga 0.500 0.500 0.157
Ga4 Ga 0.500 0.500 0.500
```

---

Entry 3:
VASP calculation (PBE) on an optimized crystal structure of PaIn2Ga.

Results
As for the density: 8.96 g/cm³. The value obtained for the distance to the lowest polymorph of the same formula is 382 meV/atom. The calculation puts the total magnetic moment at 2.62 μB per cell. The calculation puts the density of states at the Fermi level at 17.51 states/eV/cell. Its total energy is -4.30 eV per atom.

The structure in CIF format:
```
data_PaIn2Ga
_symmetry_space_group_name_H-M 'R -3 m'
_symmetry_Int_Tables_number 166
_symmetry_space_group_name_Hall '-R 3 2"'
_cell_length_a 4.7567
_cell_length_b 4.7567
_cell_length_c 15.0538
_cell_angle_alpha 90.00
_cell_angle_beta 90.00
_cell_angle_gamma 120.00
loop_
_atom_site_label
_atom_site_type_symbol
_atom_site_fract_x
_atom_site_fract_y
_atom_site_fract_z
Pa1 Pa 0.0000 0.0000 0.0000
In1 In 0.0000 0.0000 0.2285
Ga1 Ga 0.0000 0.0000 0.5000
```